Record 1
Computed, not measured: a geometry-optimized SrCdOs2 structure at the GGA-PBE level of DFT.

Properties
Total energy = -5.277 eV per atom
Energy of formation = 3.95 eV per formula unit
Spin magnetization = 0.57 μB per cell

The structure in POSCAR format:
```
SrCdOs2
1.0
3.047 0.000 0.000
0.000 4.992 0.000
0.000 0.000 4.997
Sr Cd Os
1 1 2
direct
0.000 0.000 0.000
0.500 0.500 0.000
0.000 0.500 0.500
0.500 0.000 0.500
```


Record 2
Computed, not measured: a geometry-optimized RbNiPt3 structure at the GGA-PBE level of DFT.

Properties
Total energy = -2.420 eV per atom
Energy of formation = 12.77 eV per formula unit
Energy above the lowest structure with this stoichiometry = 1872.8 meV per atom
Spin magnetization = 0.85 μB per cell

The structure in POSCAR format:
```
RbNiPt3
1.0
5.041 0.000 0.000
0.000 5.041 0.000
0.000 0.000 5.041
Rb Ni Pt
1 1 3
direct
0.000 0.000 0.000
0.500 0.500 0.500
0.000 0.000 0.500
0.000 0.500 0.000
0.500 0.000 0.000
```


Record 3
Computed, not measured: a geometry-optimized TaTlCu2S4 structure at the GGA-PBE level of DFT.

Properties
Total energy = -5.516 eV per atom
Energy above the lowest structure with this stoichiometry = 0.0 meV per atom
Spin magnetization = 0.00 μB per cell

The structure in POSCAR format:
```
TaTlCu2S4
1.0
7.533 0.000 0.000
0.000 9.523 2.794
0.000 -9.523 2.794
Ta Tl Cu S
2 2 4 8
direct
0.250 0.108 0.892
0.750 0.892 0.108
0.250 0.970 0.331
0.750 0.331 0.970
0.000 0.985 0.985
0.250 0.603 0.395
0.500 0.985 0.985
0.750 0.395 0.603
0.002 0.859 0.653
0.250 0.243 0.229
0.250 0.454 0.047
0.498 0.859 0.653
0.502 0.653 0.859
0.750 0.047 0.454
0.750 0.229 0.243
0.998 0.653 0.859
```


Record 4
Computed, not measured: a geometry-optimized MnPPt structure at the GGA-PBE level of DFT.

Properties
Total energy = -7.222 eV per atom
Energy of formation = -1.05 eV per formula unit
Spin magnetization = 1.45 μB per cell

The structure in POSCAR format:
```
MnPPt
1.0
0.000 2.763 2.763
2.763 0.000 2.763
2.763 2.763 0.000
Mn P Pt
1 1 1
direct
0.000 0.000 0.000
0.250 0.250 0.250
0.500 0.500 0.500
```


Record 5
Computed, not measured: a geometry-optimized Sm2ZrUN4 structure at the GGA-PBE level of DFT.

Properties
Total energy = -9.374 eV per atom
Spin magnetization = 0.12 μB per cell

The structure in POSCAR format:
```
Sm2ZrUN4
1.0
5.908 0.000 0.000
0.000 3.449 0.000
-1.945 0.000 5.698
Sm Zr U N
2 1 1 4
direct
0.000 0.000 0.000
0.500 0.500 0.000
0.000 0.500 0.500
0.500 0.000 0.500
0.246 0.000 0.715
0.262 0.500 0.284
0.738 0.500 0.716
0.754 0.000 0.285
```


Record 6
Computed, not measured: a geometry-optimized Ca2GaCuN structure at the GGA-PBE level of DFT.

Properties
Total energy = -4.265 eV per atom
Spin magnetization = 0.00 μB per cell

The structure in POSCAR format:
```
Ca2GaCuN
1.0
4.981 0.000 0.000
0.000 4.981 0.000
0.000 0.000 3.823
Ca Ga Cu N
2 1 1 1
direct
0.000 0.500 0.000
0.500 0.000 0.000
0.000 0.000 0.500
0.500 0.500 0.500
0.500 0.500 0.000
```


Record 7
Computed, not measured: a geometry-optimized MnTcPPdCl structure at the GGA-PBE level of DFT.

Properties
Total energy = -6.557 eV per atom
Energy above the lowest structure with this stoichiometry = 61.3 meV per atom
Spin magnetization = 2.35 μB per cell

The structure in POSCAR format:
```
MnTcPPdCl
1.0
3.121 0.000 0.000
0.000 3.247 0.000
-0.034 0.000 8.286
Mn Tc P Pd Cl
1 1 1 1 1
direct
0.000 0.000 0.000
0.498 0.500 0.828
0.501 0.500 0.106
0.503 0.000 0.301
0.495 0.000 0.603
```


Record 8
Computed, not measured: a geometry-optimized CaCoRu4 structure at the GGA-PBE level of DFT.

Properties
Total energy = -7.209 eV per atom
Energy of formation = 2.96 eV per formula unit
Spin magnetization = 4.83 μB per cell

The structure in POSCAR format:
```
CaCoRu4
1.0
0.000 3.668 3.668
3.668 0.000 3.668
3.668 3.668 0.000
Ca Co Ru
1 1 4
direct
0.000 0.000 0.000
0.750 0.750 0.750
0.376 0.376 0.376
0.376 0.376 0.873
0.376 0.873 0.376
0.873 0.376 0.376
```


Record 9
Computed, not measured: a geometry-optimized Al2TlTe structure at the GGA-PBE level of DFT.

Properties
Total energy = -3.045 eV per atom
Energy above the lowest structure with this stoichiometry = 151.6 meV per atom
Spin magnetization = 0.00 μB per cell

The structure in POSCAR format:
```
Al2TlTe
1.0
-1.864 2.782 5.004
1.864 -2.782 5.004
1.864 2.782 -5.004
Al Tl Te
2 1 1
direct
0.226 0.226 0.000
0.774 0.774 0.000
0.500 0.000 0.500
0.000 0.500 0.500
```


Record 10
Computed, not measured: a geometry-optimized PmPr2Ni2 structure at the GGA-PBE level of DFT.

Properties
Total energy = -5.394 eV per atom
Energy of formation = -1.10 eV per formula unit
Energy above the lowest structure with this stoichiometry = 7.1 meV per atom
Spin magnetization = 0.00 μB per cell

The structure in POSCAR format:
```
PmPr2Ni2
1.0
2.230 -7.137 0.000
2.230 7.137 0.000
0.000 0.000 3.926
Pm Pr Ni
1 2 2
direct
0.000 0.000 0.000
0.351 0.649 0.500
0.649 0.351 0.500
0.202 0.798 0.000
0.798 0.202 0.000
```


Record 11
Computed, not measured: a geometry-optimized HfSi2SnPd structure at the GGA-PBE level of DFT.

Properties
Total energy = -5.327 eV per atom
Spin magnetization = 0.00 μB per cell

The structure in POSCAR format:
```
HfSi2SnPd
1.0
5.058 0.000 0.000
0.000 5.058 0.000
0.000 0.000 4.970
Hf Si Sn Pd
1 2 1 1
direct
0.000 0.000 0.000
0.000 0.500 0.000
0.500 0.000 0.000
0.500 0.500 0.500
0.000 0.000 0.500
```


Record 12
Computed, not measured: a geometry-optimized Pr4Zn3Rh structure at the GGA-PBE level of DFT.

Properties
Total energy = -4.163 eV per atom
Energy of formation = -3.01 eV per formula unit
Spin magnetization = 0.00 μB per cell

The structure in POSCAR format:
```
Pr4Zn3Rh
1.0
3.687 0.000 0.000
0.000 3.687 0.000
0.000 0.000 14.677
Pr Zn Rh
4 3 1
direct
0.000 0.000 0.115
0.000 0.000 0.374
0.000 0.000 0.626
0.000 0.000 0.885
0.500 0.500 0.248
0.500 0.500 0.500
0.500 0.500 0.752
0.500 0.500 0.000
```


Record 13
Computed, not measured: a geometry-optimized InBi2PbS structure at the GGA-PBE level of DFT.

Properties
Total energy = -2.758 eV per atom
Spin magnetization = 0.00 μB per cell

The structure in POSCAR format:
```
InBi2PbS
1.0
5.933 0.000 0.000
0.000 5.933 0.000
0.000 0.000 5.813
In Bi Pb S
1 2 1 1
direct
0.000 0.000 0.000
0.000 0.500 0.500
0.500 0.000 0.500
0.000 0.000 0.500
0.500 0.500 0.000
```


Record 14
Computed, not measured: a geometry-optimized Cu2HPtRh structure at the GGA-PBE level of DFT.

Properties
Total energy = -4.906 eV per atom
Energy above the lowest structure with this stoichiometry = 83.1 meV per atom
Spin magnetization = 0.00 μB per cell

The structure in POSCAR format:
```
Cu2HPtRh
1.0
4.001 0.000 0.000
0.000 4.001 0.000
0.000 0.000 3.592
Cu H Pt Rh
2 1 1 1
direct
0.000 0.500 0.000
0.500 0.000 0.000
0.000 0.000 0.000
0.000 0.000 0.500
0.500 0.500 0.500
```


Record 15
Computed, not measured: a geometry-optimized AlCu3Pd4 structure at the GGA-PBE level of DFT.

Properties
Total energy = -5.014 eV per atom
Energy of formation = -3.31 eV per formula unit
Spin magnetization = 0.00 μB per cell

The structure in POSCAR format:
```
AlCu3Pd4
1.0
-2.139 2.139 6.038
2.139 -2.139 6.038
2.139 2.139 -6.038
Al Cu Pd
1 3 4
direct
0.000 0.000 0.000
0.252 0.252 0.000
0.500 0.500 0.000
0.748 0.748 0.000
0.123 0.623 0.500
0.377 0.877 0.500
0.623 0.123 0.500
0.877 0.377 0.500
```


Record 16
Computed, not measured: a geometry-optimized Ce3GaIr structure at the GGA-PBE level of DFT.

Properties
Total energy = -6.446 eV per atom
Energy of formation = -2.54 eV per formula unit
Energy above the lowest structure with this stoichiometry = 15.0 meV per atom
Spin magnetization = 1.08 μB per cell

The structure in POSCAR format:
```
Ce3GaIr
1.0
5.382 0.000 0.000
0.000 6.397 0.000
-0.859 0.000 7.012
Ce Ga Ir
6 2 2
direct
0.150 0.027 0.352
0.150 0.473 0.352
0.344 0.250 0.893
0.656 0.750 0.107
0.850 0.527 0.648
0.850 0.973 0.648
0.360 0.750 0.703
0.640 0.250 0.297
0.152 0.750 0.028
0.848 0.250 0.972
```


Record 17
Computed, not measured: a geometry-optimized CaGa4NiIr2 structure at the GGA-PBE level of DFT.

Properties
Total energy = -5.160 eV per atom
Energy of formation = -3.67 eV per formula unit
Spin magnetization = 0.00 μB per cell

The structure in POSCAR format:
```
CaGa4NiIr2
1.0
2.116 1.222 8.758
-2.116 1.222 8.758
0.000 -2.444 8.758
Ca Ga Ni Ir
1 4 1 2
direct
0.000 0.000 0.000
0.133 0.133 0.133
0.403 0.403 0.403
0.597 0.597 0.597
0.867 0.867 0.867
0.500 0.500 0.500
0.233 0.233 0.233
0.767 0.767 0.767
```


Record 18
Computed, not measured: a geometry-optimized Sc2TiNi2 structure at the GGA-PBE level of DFT.

Properties
Total energy = -6.774 eV per atom
Energy of formation = -1.75 eV per formula unit
Energy above the lowest structure with this stoichiometry = 0.0 meV per atom
Spin magnetization = 0.00 μB per cell

The structure in POSCAR format:
```
Sc2TiNi2
1.0
6.320 0.000 0.000
0.000 6.320 0.000
0.000 0.000 4.240
Sc Ti Ni
4 2 4
direct
0.174 0.326 0.000
0.326 0.826 0.000
0.674 0.174 0.000
0.826 0.674 0.000
0.000 0.000 0.500
0.500 0.500 0.500
0.133 0.633 0.500
0.367 0.133 0.500
0.633 0.867 0.500
0.867 0.367 0.500
```


Record 19
Computed, not measured: a geometry-optimized CaTb2Y3Se6 structure at the GGA-PBE level of DFT.

Properties
Total energy = -6.106 eV per atom
Spin magnetization = 0.00 μB per cell

The structure in POSCAR format:
```
CaTb2Y3Se6
1.0
8.947 -2.046 0.000
8.947 2.046 0.000
-1.908 0.000 8.021
Ca Tb Y Se
1 2 3 6
direct
0.000 0.000 0.000
0.329 0.329 0.659
0.671 0.671 0.341
0.000 0.000 0.500
0.332 0.332 0.173
0.668 0.668 0.827
0.164 0.164 0.583
0.166 0.166 0.082
0.499 0.499 0.749
0.501 0.501 0.251
0.834 0.834 0.918
0.836 0.836 0.417
```


Record 20
Computed, not measured: a geometry-optimized UTeMo structure at the GGA-PBE level of DFT.

Properties
Total energy = -8.270 eV per atom
Spin magnetization = 2.10 μB per cell

The structure in POSCAR format:
```
UTeMo
1.0
-1.697 1.697 5.601
1.697 -1.697 5.601
1.697 1.697 -5.601
U Te Mo
1 1 1
direct
0.000 0.000 0.000
0.294 0.294 0.000
0.663 0.663 0.000
```


Record 21
Computed, not measured: a geometry-optimized ReBiIO2 structure at the GGA-PBE level of DFT.

Properties
Total energy = -5.580 eV per atom
Energy above the lowest structure with this stoichiometry = 0.0 meV per atom
Spin magnetization = 0.00 μB per cell

The structure in POSCAR format:
```
ReBiIO2
1.0
4.035 0.000 0.000
0.000 4.035 0.000
0.000 0.000 6.190
Re Bi I O
1 1 1 2
direct
0.000 0.000 0.000
0.500 0.500 0.500
0.000 0.000 0.500
0.000 0.500 0.000
0.500 0.000 0.000
```


Record 22
Computed, not measured: a geometry-optimized InSiMo2 structure at the GGA-PBE level of DFT.

Properties
Total energy = -7.225 eV per atom
Energy above the lowest structure with this stoichiometry = 191.9 meV per atom
Spin magnetization = 0.00 μB per cell

The structure in POSCAR format:
```
InSiMo2
1.0
4.995 -1.645 0.000
4.995 1.645 0.000
-1.982 0.000 3.992
In Si Mo
1 1 2
direct
0.000 0.000 0.000
0.768 0.768 0.270
0.230 0.230 0.731
0.488 0.488 0.488
```


Record 23
Computed, not measured: a geometry-optimized Mn2GaNi structure at the GGA-PBE level of DFT.

Properties
Total energy = -6.975 eV per atom
Energy of formation = -0.75 eV per formula unit
Spin magnetization = 1.00 μB per cell

The structure in POSCAR format:
```
Mn2GaNi
1.0
-1.899 1.899 3.435
1.899 -1.899 3.435
1.899 1.899 -3.435
Mn Ga Ni
2 1 1
direct
0.000 0.000 0.000
0.750 0.250 0.500
0.500 0.500 0.000
0.250 0.750 0.500
```


Record 24
Computed, not measured: a geometry-optimized Ba3Tl2InO6 structure at the GGA-PBE level of DFT.

Properties
Total energy = -5.301 eV per atom
Spin magnetization = 0.00 μB per cell

The structure in POSCAR format:
```
Ba3Tl2InO6
1.0
6.243 0.000 0.000
-3.121 5.407 0.000
0.000 0.000 7.046
Ba Tl In O
3 2 1 6
direct
0.000 0.000 0.000
0.333 0.667 0.612
0.667 0.333 0.388
0.333 0.667 0.127
0.667 0.333 0.873
0.000 0.000 0.500
0.164 0.327 0.316
0.164 0.836 0.316
0.327 0.164 0.684
0.673 0.836 0.316
0.836 0.164 0.684
0.836 0.673 0.684
```


Record 25
Computed, not measured: a geometry-optimized Li2MgTaSe structure at the GGA-PBE level of DFT.

Properties
Total energy = -3.577 eV per atom
Spin magnetization = 0.00 μB per cell

The structure in POSCAR format:
```
Li2MgTaSe
1.0
4.535 0.000 0.000
0.000 4.535 0.000
0.000 0.000 5.141
Li Mg Ta Se
2 1 1 1
direct
0.000 0.500 0.000
0.500 0.000 0.000
0.000 0.000 0.500
0.500 0.500 0.500
0.000 0.000 0.000
```


Record 26
Computed, not measured: a geometry-optimized PmSmSn structure at the GGA-PBE level of DFT.

Properties
Total energy = -4.859 eV per atom
Energy of formation = -1.10 eV per formula unit
Energy above the lowest structure with this stoichiometry = 213.8 meV per atom
Spin magnetization = 0.00 μB per cell

The structure in POSCAR format:
```
PmSmSn
1.0
5.187 0.000 0.000
-2.593 4.492 0.000
0.000 0.000 3.934
Pm Sm Sn
1 1 1
direct
0.000 0.000 0.000
0.667 0.333 0.436
0.333 0.667 0.707
```


Record 27
Computed, not measured: a geometry-optimized Sc2CoPt structure at the GGA-PBE level of DFT.

Properties
Total energy = -7.079 eV per atom
Energy of formation = -2.50 eV per formula unit
Spin magnetization = 0.00 μB per cell

The structure in POSCAR format:
```
Sc2CoPt
1.0
-1.829 1.978 4.621
1.829 -1.978 4.621
1.829 1.978 -4.621
Sc Co Pt
2 1 1
direct
0.000 0.000 0.000
0.742 0.242 0.500
0.241 0.741 0.500
0.491 0.491 0.000
```